Entry 1:
# GGA-PBE SrZnAu2, optimized geometry
data_SrZnAu2
_symmetry_space_group_name_H-M 'I -4 2 d'
_symmetry_Int_Tables_number 122
_symmetry_space_group_name_Hall 'I -4 2bw'
_cell_length_a 5.175
_cell_length_b 5.175
_cell_length_c 17.227
_cell_angle_alpha 90.00
_cell_angle_beta 90.00
_cell_angle_gamma 90.00
loop_
_atom_site_label
_atom_site_type_symbol
_atom_site_fract_x
_atom_site_fract_y
_atom_site_fract_z
Sr1 Sr 0.000 0.000 0.000
Zn1 Zn 0.000 0.000 0.500
Au1 Au 0.092 0.250 0.625
# ΔE_f   -0.3729 eV per atom
# Raw total energy   -2.7505 eV per atom
# Total moment   0.00 μB/cell
# N(E_F)   6.33 states/eV per cell

=====

Entry 2:
# GGA-PBE SrZnAu2, optimized geometry
data_SrZnAu2
_symmetry_space_group_name_H-M 'P 4 m m'
_symmetry_Int_Tables_number 99
_cell_length_a 3.698
_cell_length_b 3.698
_cell_length_c 6.691
_cell_angle_alpha 90.00
_cell_angle_beta 90.00
_cell_angle_gamma 90.00
loop_
_symmetry_equiv_pos_as_xyz
'x,y,z'
'-y,x,z'
'-x,-y,z'
'y,-x,z'
'-x,y,z'
'y,x,z'
'x,-y,z'
'-y,-x,z'
loop_
_atom_site_label
_atom_site_type_symbol
_atom_site_fract_x
_atom_site_fract_y
_atom_site_fract_z
Sr1 Sr 0.000 0.000 0.000
Zn1 Zn 0.500 0.500 0.340
Au1 Au 0.000 0.000 0.478
Au2 Au 0.500 0.500 0.736
# ΔE_f   -0.3696 eV per atom
# Raw total energy   -2.7472 eV per atom
# Total moment   0.00 μB/cell
# N(E_F)   1.67 states/eV per cell

=====

Entry 3:
# GGA-PBE SrZn2Au, optimized geometry
data_SrZn2Au
_symmetry_space_group_name_H-M 'P 4/n m m'
_symmetry_Int_Tables_number 129
_cell_length_a 4.315
_cell_length_b 4.315
_cell_length_c 10.189
_cell_angle_alpha 90.00
_cell_angle_beta 90.00
_cell_angle_gamma 90.00
loop_
_symmetry_equiv_pos_as_xyz
'x,y,z'
'-x,-y,-z'
'-y+1/2,x,z'
'y+1/2,-x,-z'
'-x+1/2,-y+1/2,z'
'x+1/2,y+1/2,-z'
'y,-x+1/2,z'
'-y,x+1/2,-z'
'x+1/2,-y,-z'
'-x+1/2,y,z'
'-y,-x,-z'
'y,x,z'
'-x,y+1/2,-z'
'x,-y+1/2,z'
'y+1/2,x+1/2,-z'
'-y+1/2,-x+1/2,z'
loop_
_atom_site_label
_atom_site_type_symbol
_atom_site_fract_x
_atom_site_fract_y
_atom_site_fract_z
Sr1 Sr 0.250 0.250 0.231
Zn1 Zn 0.250 0.250 0.922
Zn2 Zn 0.250 0.750 0.500
Au1 Au 0.250 0.250 0.658
# ΔE_f   -0.3731 eV per atom
# Raw total energy   -2.2498 eV per atom
# Total moment   0.00 μB/cell
# N(E_F)   2.30 states/eV per cell

=====

Entry 4:
# GGA-PBE Sr3Zn6Au5, optimized geometry
data_Sr3Zn6Au5
_symmetry_space_group_name_H-M 'P m m n'
_symmetry_Int_Tables_number 59
_cell_length_a 4.522
_cell_length_b 13.414
_cell_length_c 9.883
_cell_angle_alpha 90.00
_cell_angle_beta 90.00
_cell_angle_gamma 90.00
loop_
_symmetry_equiv_pos_as_xyz
'x,y,z'
'-x,-y,-z'
'-x+1/2,-y+1/2,z'
'x+1/2,y+1/2,-z'
'x+1/2,-y,-z'
'-x+1/2,y,z'
'-x,y+1/2,-z'
'x,-y+1/2,z'
loop_
_atom_site_label
_atom_site_type_symbol
_atom_site_fract_x
_atom_site_fract_y
_atom_site_fract_z
Sr1 Sr 0.250 0.064 0.249
Sr2 Sr 0.250 0.750 0.247
Zn1 Zn 0.250 0.071 0.906
Zn2 Zn 0.250 0.250 0.032
Zn3 Zn 0.250 0.250 0.471
Zn4 Zn 0.250 0.600 0.516
Au1 Au 0.250 0.087 0.631
Au2 Au 0.250 0.631 0.965
Au3 Au 0.250 0.750 0.701
# ΔE_f   -0.4970 eV per atom
# Raw total energy   -2.5739 eV per atom
# Total moment   0.00 μB/cell
# N(E_F)   12.31 states/eV per cell

=====

Entry 5:
# GGA-PBE Sr2ZnAu, optimized geometry
data_Sr2ZnAu
_symmetry_space_group_name_H-M 'C 1 m 1'
_symmetry_Int_Tables_number 8
_cell_length_a 7.741
_cell_length_b 4.460
_cell_length_c 8.390
_cell_angle_alpha 90.00
_cell_angle_beta 107.98
_cell_angle_gamma 90.00
loop_
_symmetry_equiv_pos_as_xyz
'x,y,z'
'x,-y,z'
'x+1/2,y+1/2,z'
'x+1/2,-y+1/2,z'
loop_
_atom_site_label
_atom_site_type_symbol
_atom_site_fract_x
_atom_site_fract_y
_atom_site_fract_z
Sr1 Sr 0.000 0.000 0.000
Sr2 Sr 0.181 0.000 0.543
Zn1 Zn 0.257 0.500 0.270
Au1 Au 0.091 0.500 0.774
# ΔE_f   -0.3577 eV per atom
# Offset from the most stable computed form   0.154 eV per atom
# Raw total energy   -2.3364 eV per atom
# Total moment   0.00 μB/cell
# N(E_F)   7.20 states/eV per cell

=====

Entry 6:
# GGA-PBE Sr2Zn3Au9, optimized geometry
data_Sr2Zn3Au9
_symmetry_space_group_name_H-M 'C 1 2/c 1'
_symmetry_Int_Tables_number 15
_cell_length_a 13.908
_cell_length_b 8.027
_cell_length_c 11.114
_cell_angle_alpha 90.00
_cell_angle_beta 114.17
_cell_angle_gamma 90.00
loop_
_symmetry_equiv_pos_as_xyz
'x,y,z'
'-x,-y,-z'
'-x,y,-z+1/2'
'x,-y,z+1/2'
'x+1/2,y+1/2,z'
'-x+1/2,-y+1/2,-z'
'-x+1/2,y+1/2,-z+1/2'
'x+1/2,-y+1/2,z+1/2'
loop_
_atom_site_label
_atom_site_type_symbol
_atom_site_fract_x
_atom_site_fract_y
_atom_site_fract_z
Sr1 Sr 0.167 0.083 0.250
Zn1 Zn 0.090 0.231 0.500
Zn2 Zn 0.250 0.250 0.000
Au1 Au 0.000 0.367 0.250
Au2 Au 0.061 0.097 0.934
Au3 Au 0.103 0.421 0.073
Au4 Au 0.106 0.310 0.748
Au5 Au 0.221 0.423 0.435
# ΔE_f   -0.4341 eV per atom
# Raw total energy   -3.0542 eV per atom
# Total moment   0.00 μB/cell
# N(E_F)   16.54 states/eV per cell

=====

Entry 7:
# GGA-PBE Sr3Zn3Au2, optimized geometry
data_Sr3Zn3Au2
_symmetry_space_group_name_H-M 'C m c m'
_symmetry_Int_Tables_number 63
_symmetry_space_group_name_Hall '-C 2c 2'
_cell_length_a 4.569
_cell_length_b 11.537
_cell_length_c 16.568
_cell_angle_alpha 90.00
_cell_angle_beta 90.00
_cell_angle_gamma 90.00
loop_
_atom_site_label
_atom_site_type_symbol
_atom_site_fract_x
_atom_site_fract_y
_atom_site_fract_z
Sr1 Sr 0.000 0.089 0.250
Sr2 Sr 0.000 0.370 0.093
Zn1 Zn 0.000 0.084 0.052
Zn2 Zn 0.000 0.203 0.750
Au1 Au 0.000 0.336 0.615
# ΔE_f   -0.4911 eV per atom
# Raw total energy   -2.4189 eV per atom
# Total moment   0.00 μB/cell
# N(E_F)   20.87 states/eV per cell

=====

Entry 8:
# GGA-PBE Sr3ZnAu2, optimized geometry
data_Sr3ZnAu2
_symmetry_space_group_name_H-M 'P n m a'
_symmetry_Int_Tables_number 62
_cell_length_a 12.615
_cell_length_b 4.549
_cell_length_c 12.944
_cell_angle_alpha 90.00
_cell_angle_beta 90.00
_cell_angle_gamma 90.00
loop_
_symmetry_equiv_pos_as_xyz
'x,y,z'
'-x,-y,-z'
'-x+1/2,-y,z+1/2'
'x+1/2,y,-z+1/2'
'x+1/2,-y+1/2,-z+1/2'
'-x+1/2,y+1/2,z+1/2'
'-x,y+1/2,-z'
'x,-y+1/2,z'
loop_
_atom_site_label
_atom_site_type_symbol
_atom_site_fract_x
_atom_site_fract_y
_atom_site_fract_z
Sr1 Sr 0.055 0.250 0.124
Sr2 Sr 0.124 0.750 0.560
Sr3 Sr 0.207 0.250 0.805
Zn1 Zn 0.124 0.250 0.368
Au1 Au 0.025 0.750 0.315
Au2 Au 0.195 0.750 0.988
# ΔE_f   -0.6010 eV per atom
# Raw total energy   -2.7467 eV per atom
# Total moment   0.00 μB/cell
# N(E_F)   11.55 states/eV per cell

=====

Entry 9:
# GGA-PBE Sr8Zn2Au, optimized geometry
data_Sr8Zn2Au
_symmetry_space_group_name_H-M 'C 1 2/m 1'
_symmetry_Int_Tables_number 12
_cell_length_a 20.670
_cell_length_b 5.632
_cell_length_c 7.737
_cell_angle_alpha 90.00
_cell_angle_beta 104.99
_cell_angle_gamma 90.00
loop_
_symmetry_equiv_pos_as_xyz
'x,y,z'
'-x,-y,-z'
'-x,y,-z'
'x,-y,z'
'x+1/2,y+1/2,z'
'-x+1/2,-y+1/2,-z'
'-x+1/2,y+1/2,-z'
'x+1/2,-y+1/2,z'
loop_
_atom_site_label
_atom_site_type_symbol
_atom_site_fract_x
_atom_site_fract_y
_atom_site_fract_z
Sr1 Sr 0.035 0.000 0.298
Sr2 Sr 0.091 0.500 0.932
Sr3 Sr 0.162 0.500 0.471
Sr4 Sr 0.213 0.000 0.825
Zn1 Zn 0.188 0.000 0.228
Au1 Au 0.000 0.500 0.500
# ΔE_f   -0.1727 eV per atom
# Offset from the most stable computed form   0.007 eV per atom
# Raw total energy   -1.9254 eV per atom
# Total moment   0.00 μB/cell
# N(E_F)   27.37 states/eV per cell

=====

Entry 10:
# GGA-PBE SrZn2Au6, optimized geometry
data_SrZn2Au6
_symmetry_space_group_name_H-M 'P 6/m m m'
_symmetry_Int_Tables_number 191
_symmetry_space_group_name_Hall '-P 6 2'
_cell_length_a 5.7281
_cell_length_b 5.7281
_cell_length_c 7.1819
_cell_angle_alpha 90.00
_cell_angle_beta 90.00
_cell_angle_gamma 120.00
loop_
_atom_site_label
_atom_site_type_symbol
_atom_site_fract_x
_atom_site_fract_y
_atom_site_fract_z
Sr1 Sr 0.0000 0.0000 0.0000
Zn1 Zn 0.3333 0.6667 0.5000
Au1 Au 0.0000 0.5000 0.2094
# ΔE_f   -0.2744 eV per atom
# Raw total energy   -2.9293 eV per atom
# Total moment   0.00 μB/cell
# N(E_F)   4.43 states/eV per cell

=====

Question: Number 9 is which compound?
Answer: Sr8Zn2Au